First-principles (PBE) data for Sm14YTh after structural relaxation, as listed in Alexandria.

Calculated values
The value obtained for the density of states at the Fermi level is 1.362 states/eV per atom. The energy of formation from the pure elements comes out at 0.02 eV/atom. Its calculated density is 7.486 g cm⁻³. Its symmetry is P4/mmm, No. 123. Its magnetic moment is 0.0 μB per formula unit.

Cell: 7.241 7.241 10.262 Å, 90.00 90.00 90.00°
Positions (direct):
Sm 0.375 0.125 0.000
Sm 0.375 0.625 0.500
Sm 0.875 0.625 0.500
Sm 0.627 0.877 0.248
Sm 0.375 0.125 0.500
Sm 0.627 0.373 0.752
Sm 0.627 0.877 0.752
Sm 0.627 0.373 0.248
Sm 0.123 0.373 0.752
Sm 0.123 0.877 0.752
Sm 0.875 0.625 0.000
Sm 0.875 0.125 0.500
Sm 0.123 0.373 0.248
Sm 0.123 0.877 0.248
Y 0.375 0.625 0.000
Th 0.875 0.125 0.000

=====

First-principles (PBE) data for ZrTeSe4 after structural relaxation, as listed in Alexandria.

Calculated values
Its calculated density is 4.964 g cm⁻³. Its symmetry is C2/m, No. 12. Its magnetic moment is 0.0 μB per formula unit. The uncorrected formation energy comes out at -15.2 kcal/mol of atoms.

Cell: 3.890 7.798 6.878 Å, 116.78 90.00 104.41°
Positions (direct):
Se 0.120 0.241 0.444
Se 0.880 0.759 0.556
Se 0.616 0.233 0.957
Se 0.384 0.767 0.043
Te 0.500 0.000 0.500
Zr 0.000 0.000 0.000

=====

First-principles (PBE) data for AlReNi after structural relaxation, as listed in Alexandria.

Calculated values
The value obtained for the density of states at the Fermi level is 0.468 states/eV per atom. The energy of formation from the pure elements comes out at -0.19 eV/atom. As for the energy relative to the lowest polymorph listed for this composition: 150.8 meV/atom. Its calculated density is 11.315 g cm⁻³. Its symmetry is I4mm, No. 107. Its magnetic moment is 0.0 μB per formula unit.

Cell: 5.809 5.809 2.697 Å, 76.57 76.59 26.84°
Positions (direct):
Al 0.991 0.991 0.009
Re 0.674 0.674 0.326
Ni 0.335 0.335 0.665

=====

First-principles (PBE) data for Pm2PuTh after structural relaxation, as listed in Alexandria.

Calculated values
The value obtained for the density of states at the Fermi level is 2.824 states/eV per atom. The energy of formation from the pure elements comes out at 0.25 eV/atom. As for the energy relative to the lowest polymorph listed for this composition: 103.7 meV/atom. Its calculated density is 9.618 g cm⁻³. Its symmetry is R-3m, No. 166. Its magnetic moment is 6.2 μB per formula unit.

Cell: 3.521 3.521 12.486 Å, 81.89 81.89 60.00°
Positions (direct):
Pm 0.090 0.090 0.731
Pm 0.910 0.910 0.269
Th 0.500 0.500 0.500
Pu 0.000 0.000 0.000

=====

First-principles (PBE) data for RbZnGa2Ni after structural relaxation, as listed in Alexandria.

Calculated values
The value obtained for the density of states at the Fermi level is 0.433 states/eV per atom. The energy of formation from the pure elements comes out at -0.05 eV/atom. Its calculated density is 5.239 g cm⁻³. Its symmetry is P4/mmm, No. 123. Its magnetic moment is 0.0 μB per formula unit.

Cell: 4.739 4.739 4.927 Å, 90.00 90.00 90.00°
Positions (direct):
Ga 0.000 0.500 0.000
Ga 0.500 0.000 0.000
Zn 0.000 0.000 0.500
Ni 0.000 0.000 0.000
Rb 0.500 0.500 0.500

=====

First-principles (PBE) data for Li2GeW after structural relaxation, as listed in Alexandria.

Calculated values
The value obtained for the density of states at the Fermi level is 0.618 states/eV per atom. The energy of formation from the pure elements comes out at 0.61 eV/atom. Its calculated density is 7.370 g cm⁻³. Its symmetry is I-42d, No. 122. Its magnetic moment is 0.0 μB per formula unit.

Cell: 6.968 6.968 5.529 Å, 50.94 50.94 90.00°
Positions (direct):
W 0.000 0.000 0.000
W 0.750 0.250 0.500
Li 0.375 0.401 0.750
Li 0.151 0.625 0.250
Li 0.875 0.849 0.750
Li 0.599 0.125 0.250
Ge 0.500 0.500 0.000
Ge 0.250 0.750 0.500

=====

First-principles (PBE) data for SrCa3Zn after structural relaxation, as listed in Alexandria.

Calculated values
The value obtained for the density of states at the Fermi level is 2.591 states/eV per atom. The energy of formation from the pure elements comes out at 1.02 eV/atom. As for the energy relative to the lowest polymorph listed for this composition: 1096.5 meV/atom. Its calculated density is 1.373 g cm⁻³. Its symmetry is Pm-3m, No. 221. Its magnetic moment is 1.8 μB per formula unit.

Cell: 6.914 6.914 6.914 Å, 90.00 90.00 90.00°
Positions (direct):
Ca 0.000 0.500 0.000
Ca 0.000 0.000 0.500
Ca 0.500 0.000 0.000
Sr 0.000 0.000 0.000
Zn 0.500 0.500 0.500

=====

First-principles (PBE) data for PmInAgPd after structural relaxation, as listed in Alexandria.

Calculated values
The value obtained for the density of states at the Fermi level is 0.618 states/eV per atom. The energy of formation from the pure elements comes out at -0.53 eV/atom. Its calculated density is 8.981 g cm⁻³. Its symmetry is R3m, No. 160. Its magnetic moment is 0.0 μB per formula unit.

Cell: 4.830 5.162 5.161 Å, 124.25 117.90 90.00°
Positions (direct):
Ag 0.484 0.517 0.968
In 0.741 0.259 0.483
Pd 0.023 0.976 0.046
Pm 0.251 0.748 0.503

=====

First-principles (PBE) data for Tc2NiHPt after structural relaxation, as listed in Alexandria.

Calculated values
The value obtained for the density of states at the Fermi level is 1.327 states/eV per atom. The calculation puts the total energy at -35.72 eV for the cell shown. Its calculated density is 12.891 g cm⁻³. Its symmetry is P4/mmm, No. 123. Its magnetic moment is 0.0 μB per formula unit.

Cell: 3.847 3.847 3.923 Å, 90.00 90.00 90.00°
Positions (direct):
H 0.000 0.000 0.000
Pt 0.500 0.500 0.500
Tc 0.500 0.000 0.000
Tc 0.000 0.500 0.000
Ni 0.000 0.000 0.500

=====

First-principles (PBE) data for CdH2PtI after structural relaxation, as listed in Alexandria.

Calculated values
The value obtained for the density of states at the Fermi level is 0.180 states/eV per atom. The calculation puts the total energy at -13.62 eV for the cell shown. Its calculated density is 8.054 g cm⁻³. Its symmetry is P4/mmm, No. 123. Its magnetic moment is 0.0 μB per formula unit.

Cell: 3.825 6.151 3.825 Å, 90.00 90.00 90.00°
Positions (direct):
Cd 0.000 0.000 0.000
I 0.500 0.500 0.500
H 0.000 0.000 0.500
H 0.500 0.000 0.000
Pt 0.000 0.500 0.000

=====

First-principles (PBE) data for Sr2PuP3Rh4 after structural relaxation, as listed in Alexandria.

Calculated values
The value obtained for the density of states at the Fermi level is 0.856 states/eV per atom. The energy of formation from the pure elements comes out at -0.82 eV/atom. Its calculated density is 8.220 g cm⁻³. Its symmetry is P-4m2, No. 115. Its magnetic moment is 4.9 μB per formula unit.

Cell: 4.127 4.127 10.955 Å, 90.00 90.00 90.00°
Positions (direct):
P 0.000 0.000 0.500
P 0.000 0.500 0.121
P 0.500 0.000 0.879
Rh 0.000 0.500 0.337
Rh 0.000 0.000 0.000
Rh 0.500 0.500 0.000
Rh 0.500 0.000 0.663
Sr 0.500 0.000 0.233
Sr 0.000 0.500 0.767
Pu 0.500 0.500 0.500

=====

First-principles (PBE) data for Al4CoAs after structural relaxation, as listed in Alexandria.

Calculated values
The value obtained for the density of states at the Fermi level is 0.599 states/eV per atom. The energy of formation from the pure elements comes out at 0.34 eV/atom. Its calculated density is 4.090 g cm⁻³. Its symmetry is F-43m, No. 216. Its magnetic moment is 1.3 μB per formula unit.

Cell: 5.178 5.178 5.178 Å, 60.00 60.00 60.00°
Positions (direct):
Co 0.000 0.000 0.000
As 0.750 0.750 0.750
Al 0.374 0.374 0.877
Al 0.374 0.877 0.374
Al 0.374 0.374 0.374
Al 0.877 0.374 0.374

=====

magnetic moment of number 8 (PmInAgPd)?
0.0 μB per formula unit